[1]
Computed, not measured: an optimized crystal structure of RbAsCl6 at the PBE level of DFT.

Output
E_tot in eV/atom: -2.9246
Symmetry: C2/m
Crystal system: monoclinic

Lattice parameters (Å, degrees): 7.848 10.506 6.550 36.68 62.54 54.90
Sites, in units of the cell vectors:
Cl: 0.553 0.690 0.000
Cl: 0.447 0.310 0.000
Cl: 0.249 0.840 0.585
Cl: 0.751 0.575 0.585
Cl: 0.751 0.160 0.415
Cl: 0.249 0.425 0.415
As: 0.500 0.500 0.000
Rb: 0.000 0.000 0.000

***

[2]
Computed, not measured: an optimized crystal structure of RbAsCl4 at the PBE level of DFT.

Output
E_tot in eV/atom: -3.3065
Symmetry: P2_1/c
Crystal system: monoclinic

Lattice parameters (Å, degrees): 8.043 11.248 11.407 90.00 90.00 121.99
Sites, in units of the cell vectors:
Rb: 0.678 0.867 0.136
Rb: 0.822 0.633 0.636
Rb: 0.322 0.133 0.864
Rb: 0.178 0.367 0.364
Cl: 0.710 0.069 0.387
Cl: 0.276 0.901 0.095
Cl: 0.290 0.931 0.613
Cl: 0.824 0.624 0.158
Cl: 0.224 0.599 0.595
Cl: 0.595 0.698 0.401
Cl: 0.405 0.302 0.599
Cl: 0.676 0.876 0.658
Cl: 0.905 0.802 0.901
Cl: 0.790 0.431 0.887
Cl: 0.210 0.569 0.113
Cl: 0.095 0.198 0.099
Cl: 0.176 0.376 0.842
Cl: 0.776 0.401 0.405
Cl: 0.724 0.099 0.905
Cl: 0.324 0.124 0.342
As: 0.541 0.190 0.485
As: 0.041 0.690 0.015
As: 0.959 0.310 0.985
As: 0.459 0.810 0.515

***

[3]
Computed, not measured: an optimized crystal structure of Rb2As2Cl7 at the PBE level of DFT.

Output
E_tot in eV/atom: -3.2421
Symmetry: C2/m
Crystal system: monoclinic

Lattice parameters (Å, degrees): 4.873 9.506 9.506 118.28 97.20 97.20
Sites, in units of the cell vectors:
Cl: 0.500 0.000 0.000
Cl: 0.302 0.089 0.393
Cl: 0.302 0.393 0.089
Cl: 0.698 0.607 0.911
Cl: 0.252 0.634 0.634
Cl: 0.698 0.911 0.607
Cl: 0.748 0.366 0.366
As: 0.684 0.777 0.777
As: 0.316 0.223 0.223
Rb: 0.000 0.706 0.294
Rb: 0.000 0.294 0.706

***

The lowest E_tot belongs to which entry? RbAsCl4

***

Which of these has the lowest E_tot? RbAsCl4

***

Among the records above, which one has the lowest E_tot? RbAsCl4